No. 1
This record from the Alexandria database describes Os3Pb3N5 after structural relaxation. The functional is PBE.

a = 6.213 Å, b = 7.583 Å, c = 8.429 Å
α = 78.25°, β = 82.46°, γ = 86.10°
Space group P-1 (No. 2)
Asymmetric unit:
Os 0.080 0.424 0.301
Os 0.093 0.203 0.962
Os 0.344 0.547 0.607
Pb 0.219 0.018 0.600
Pb 0.352 0.907 0.185
Pb 0.368 0.680 0.914
N 0.023 0.004 0.850
N 0.104 0.731 0.540
N 0.145 0.340 0.114
N 0.146 0.385 0.766
N 0.344 0.453 0.391

D(E_F): 4.68 states/eV/f.u.
ΔE_f (raw): 0.57 eV per atom
density: 10.9 Mg/m³
total moment: 0.0 μB/cell

***

No. 2
This record from the Alexandria database describes OsPb3N after structural relaxation. The functional is PBE.

a = 5.247 Å, b = 5.247 Å, c = 5.247 Å
α = 90.00°, β = 90.00°, γ = 90.00°
Space group Pm-3m (No. 221)
Asymmetric unit:
Os 0.000 0.000 0.000
Pb 0.000 0.000 0.500
N 0.500 0.500 0.500

D(E_F): 2.54 states/eV/f.u.
distance to the lowest polymorph of the same formula: 15 meV per atom
ΔE_f (raw): 1.30 eV per atom
density: 9.5 Mg/m³
total moment: 1.0 μB/cell

***

No. 3
This record from the Alexandria database describes Os2PbN after structural relaxation. The functional is PBE.

a = 6.246 Å, b = 6.246 Å, c = 6.246 Å
α = 90.00°, β = 90.00°, γ = 90.00°
Space group Fm-3m (No. 225)
Asymmetric unit:
Os 0.250 0.250 0.250
Pb 0.000 0.000 0.000
N 0.000 0.000 0.500

D(E_F): 3.21 states/eV/f.u.
distance to the lowest polymorph of the same formula: 1117 meV per atom
ΔE_f (raw): 2.03 eV per atom
density: 16.4 Mg/m³
total moment: 0.0 μB/cell

***

No. 4
This record from the Alexandria database describes OsPbN2 after structural relaxation. The functional is PBE.

a = 3.1886 Å, b = 3.1886 Å, c = 20.5086 Å
α = 90.00°, β = 90.00°, γ = 120.00°
Space group R-3m (No. 166, hexagonal axes)
Asymmetric unit:
Os 0.0000 0.0000 0.0000
Pb 0.0000 0.0000 0.5000
N 0.0000 0.0000 0.3793

D(E_F): 3.01 states/eV/f.u.
ΔE_f (raw): 0.71 eV per atom
density: 11.7 Mg/m³
total moment: 0.0 μB/cell